DFT (GGA-PBE) results for crystalline Sr2TlSn at its relaxed geometry.

Values from the calculation:
Its symmetry is I-42d (122). The calculation puts the total magnetic moment at 0.00 μB/f.u. The calculation puts the total energy at -2.618 eV/atom.

a = 7.400 Å, b = 7.400 Å, c = 7.400 Å
α = 105.17°, β = 105.17°, γ = 118.47°
Fractional coordinates of all 8 atoms:
Sr 0.121 0.125 0.496
Sr 0.375 0.879 0.004
Sr 0.629 0.625 0.504
Sr 0.875 0.371 0.996
Tl 0.250 0.750 0.500
Tl 0.500 0.500 0.000
Sn 0.000 0.000 0.000
Sn 0.750 0.250 0.500

DFT (GGA-PBE) results for crystalline Sr2TlSn2 at its relaxed geometry.

Values from the calculation:
Its symmetry is I4/mmm (139). The calculation puts the total magnetic moment at 0.00 μB/f.u. The calculation puts the total energy at -2.941 eV/atom.

a = 7.579 Å, b = 7.579 Å, c = 7.579 Å
α = 136.71°, β = 136.71°, γ = 62.88°
Fractional coordinates of all 5 atoms:
Sr 0.250 0.750 0.500
Sr 0.750 0.250 0.500
Tl 0.000 0.000 0.000
Sn 0.395 0.395 0.000
Sn 0.605 0.605 0.000

DFT (GGA-PBE) results for crystalline SrTl3Sn at its relaxed geometry.

Values from the calculation:
As for the energy above the most stable polymorph in this dataset: 0.00 eV/f.u. Its symmetry is Pmmn (59). The calculation puts the total magnetic moment at 0.00 μB/f.u.

a = 4.859 Å, b = 8.240 Å, c = 8.176 Å
α = 90.00°, β = 90.00°, γ = 90.00°
Fractional coordinates of all 10 atoms:
Sr 0.250 0.250 0.226
Sr 0.750 0.750 0.774
Tl 0.250 0.048 0.764
Tl 0.250 0.452 0.764
Tl 0.250 0.750 0.455
Tl 0.750 0.250 0.545
Tl 0.750 0.548 0.236
Tl 0.750 0.952 0.236
Sn 0.250 0.750 0.072
Sn 0.750 0.250 0.928

DFT (GGA-PBE) results for crystalline Sr5TlSn2 at its relaxed geometry.

Values from the calculation:
Its symmetry is I4/mcm (140). The calculation puts the total magnetic moment at 0.00 μB/f.u. The calculation puts the total energy at -2.875 eV/atom.

a = 10.329 Å, b = 10.329 Å, c = 10.329 Å
α = 130.44°, β = 130.44°, γ = 72.71°
Fractional coordinates of all 16 atoms:
Sr 0.000 0.000 0.000
Sr 0.032 0.532 0.849
Sr 0.184 0.032 0.500
Sr 0.316 0.816 0.849
Sr 0.468 0.316 0.500
Sr 0.500 0.500 0.000
Sr 0.532 0.684 0.500
Sr 0.684 0.184 0.151
Sr 0.816 0.968 0.500
Sr 0.968 0.468 0.151
Tl 0.250 0.250 0.000
Tl 0.750 0.750 0.000
Sn 0.121 0.379 0.500
Sn 0.379 0.879 0.259
Sn 0.621 0.121 0.741
Sn 0.879 0.621 0.500